(1)
Here is a relaxed structure of FeAg2BSb from Alexandria via LeMat-Bulk. Energies are from PBE.

Geometry as CIF:
```
data_FeAg2BSb
_symmetry_space_group_name_H-M 'P 1'
_symmetry_Int_Tables_number 1
_symmetry_space_group_name_Hall 'P 1'
_cell_length_a 4.302
_cell_length_b 4.927
_cell_length_c 4.302
_cell_angle_alpha 90.00
_cell_angle_beta 90.00
_cell_angle_gamma 90.00
loop_
_atom_site_label
_atom_site_type_symbol
_atom_site_fract_x
_atom_site_fract_y
_atom_site_fract_z
Sb1 Sb 0.000 0.500 0.000
Ag1 Ag 0.500 0.000 0.000
Ag2 Ag 0.000 0.000 0.500
Fe1 Fe 0.500 0.500 0.500
B1 B 0.000 0.000 0.000
```

- Raw formation energy: 0.87 eV/atom
- Space-group type: P4/mmm, No. 123

(2)
Here is a relaxed structure of Ta2FeAgB from Alexandria via LeMat-Bulk. Energies are from PBE.

Geometry as CIF:
```
data_Ta2FeAgB
_symmetry_space_group_name_H-M 'P 1'
_symmetry_Int_Tables_number 1
_symmetry_space_group_name_Hall 'P 1'
_cell_length_a 4.837
_cell_length_b 4.837
_cell_length_c 4.457
_cell_angle_alpha 90.00
_cell_angle_beta 90.00
_cell_angle_gamma 90.00
loop_
_atom_site_label
_atom_site_type_symbol
_atom_site_fract_x
_atom_site_fract_y
_atom_site_fract_z
Ag1 Ag 0.000 0.000 0.000
B1 B 0.500 0.500 0.500
Ta1 Ta 0.000 0.500 0.000
Ta2 Ta 0.500 0.000 0.000
Fe1 Fe 0.000 0.000 0.500
```

- Space-group type: P4/mmm, No. 123
- VASP energy: -0.2030 hartree per atom

(3)
Here is a relaxed structure of FeAg2BTe from Alexandria via LeMat-Bulk. Energies are from PBE.

Geometry as CIF:
```
data_FeAg2BTe
_symmetry_space_group_name_H-M 'P 1'
_symmetry_Int_Tables_number 1
_symmetry_space_group_name_Hall 'P 1'
_cell_length_a 4.583
_cell_length_b 4.583
_cell_length_c 4.013
_cell_angle_alpha 90.00
_cell_angle_beta 90.00
_cell_angle_gamma 90.00
loop_
_atom_site_label
_atom_site_type_symbol
_atom_site_fract_x
_atom_site_fract_y
_atom_site_fract_z
B1 B 0.000 0.000 0.000
Ag1 Ag 0.000 0.500 0.000
Ag2 Ag 0.500 0.000 0.000
Fe1 Fe 0.000 0.000 0.500
Te1 Te 0.500 0.500 0.500
```

- Raw formation energy: 0.55 eV/atom
- Space-group type: P4/mmm, No. 123

(4)
Here is a relaxed structure of VFeAgB2 from Alexandria via LeMat-Bulk. Energies are from PBE.

Geometry as CIF:
```
data_VFeAgB2
_symmetry_space_group_name_H-M 'P 1'
_symmetry_Int_Tables_number 1
_symmetry_space_group_name_Hall 'P 1'
_cell_length_a 3.956
_cell_length_b 4.893
_cell_length_c 3.956
_cell_angle_alpha 90.00
_cell_angle_beta 90.00
_cell_angle_gamma 90.00
loop_
_atom_site_label
_atom_site_type_symbol
_atom_site_fract_x
_atom_site_fract_y
_atom_site_fract_z
B1 B 0.500 0.000 0.000
B2 B 0.000 0.000 0.500
Fe1 Fe 0.500 0.500 0.500
Ag1 Ag 0.000 0.500 0.000
V1 V 0.000 0.000 0.000
```

- Space-group type: P4/mmm, No. 123
- VASP energy: -0.1913 hartree per atom

(5)
Here is a relaxed structure of GaAgBH2 from Alexandria via LeMat-Bulk. Energies are from PBE.

Geometry as CIF:
```
data_GaAgBH2
_symmetry_space_group_name_H-M 'P 1'
_symmetry_Int_Tables_number 1
_symmetry_space_group_name_Hall 'P 1'
_cell_length_a 3.509
_cell_length_b 4.662
_cell_length_c 3.509
_cell_angle_alpha 90.00
_cell_angle_beta 90.00
_cell_angle_gamma 90.00
loop_
_atom_site_label
_atom_site_type_symbol
_atom_site_fract_x
_atom_site_fract_y
_atom_site_fract_z
Ga1 Ga 0.000 0.500 0.000
B1 B 0.000 0.000 0.000
H1 H 0.500 0.000 0.000
H2 H 0.000 0.000 0.500
Ag1 Ag 0.500 0.500 0.500
```

- Space-group type: P4/mmm, No. 123
- VASP energy: -0.1095 hartree per atom

(6)
Here is a relaxed structure of Hf2GaAgB from Alexandria via LeMat-Bulk. Energies are from PBE.

Geometry as CIF:
```
data_Hf2GaAgB
_symmetry_space_group_name_H-M 'P 1'
_symmetry_Int_Tables_number 1
_symmetry_space_group_name_Hall 'P 1'
_cell_length_a 4.628
_cell_length_b 4.030
_cell_length_c 4.628
_cell_angle_alpha 90.00
_cell_angle_beta 90.00
_cell_angle_gamma 90.00
loop_
_atom_site_label
_atom_site_type_symbol
_atom_site_fract_x
_atom_site_fract_y
_atom_site_fract_z
Hf1 Hf 0.500 0.000 0.000
Hf2 Hf 0.000 0.000 0.500
Ga1 Ga 0.000 0.500 0.000
B1 B 0.000 0.000 0.000
Ag1 Ag 0.500 0.500 0.500
```

- Space-group type: P4/mmm, No. 123
- VASP energy: -0.2424 hartree per atom

Computed values of spin magnetization (unit: μB per formula unit) for the preceding records, in sequence: 3.14, 0.14, 1.41, 2.88, 0.00, 0.00.